(1)
The following is a DFT calculation (PBE) of a relaxed structure of AgAu.

Energy of formation from the pure elements = 0.88 eV/f.u.
Crystal system = hexagonal
Space-group type = P6_3/mmc, No. 194

POSCAR file:
```
AgAu
1.0
4.733 0.000 0.000
-2.367 4.099 0.000
0.000 0.000 5.470
Ag Au
2 2
Direct
0.333 0.667 0.250
0.667 0.333 0.750
0.333 0.667 0.750
0.667 0.333 0.250
```


(2)
The following is a DFT calculation (PBE) of a relaxed structure of CsTc2IrC.

Energy of formation from the pure elements = 21.87 eV/f.u.
Crystal system = tetragonal
Space-group type = P4/mmm, No. 123

POSCAR file:
```
CsTc2IrC
1.0
5.078 0.000 0.000
0.000 5.078 0.000
0.000 0.000 4.974
Cs Tc Ir C
1 2 1 1
Direct
0.000 0.000 0.000
0.000 0.500 0.000
0.500 0.000 0.000
0.000 0.000 0.500
0.500 0.500 0.500
```


(3)
The following is a DFT calculation (PBE) of a relaxed structure of Ac2PdO6.

Uncorrected formation energy = -1768.0 meV per atom
Relative energy among the computed polymorphs = 0.687 eV/f.u.
Crystal system = orthorhombic
Space-group type = Immm, No. 71

POSCAR file:
```
Ac2PdO6
1.0
-2.164 2.843 5.514
2.164 -2.843 5.514
2.164 2.843 -5.514
Ac Pd O
2 1 6
Direct
0.172 0.172 0.000
0.828 0.828 0.000
0.500 0.500 0.000
0.111 0.354 0.757
0.374 0.000 0.374
0.403 0.646 0.757
0.597 0.354 0.243
0.626 0.000 0.626
0.889 0.646 0.243
```


(4)
The following is a DFT calculation (PBE) of a relaxed structure of Pa5Ge3Se2.

Uncorrected formation energy = -527.6 meV per atom
Crystal system = monoclinic
Space-group type = C2/m, No. 12

POSCAR file:
```
Pa5Ge3Se2
1.0
7.403 -2.111 0.000
7.403 2.111 0.000
-4.598 0.000 7.587
Pa Ge Se
5 3 2
Direct
0.000 0.000 0.000
0.132 0.132 0.464
0.257 0.257 0.176
0.743 0.743 0.824
0.868 0.868 0.536
0.096 0.096 0.790
0.500 0.500 0.500
0.904 0.904 0.210
0.359 0.359 0.760
0.641 0.641 0.240
```


(5)
The following is a DFT calculation (PBE) of a relaxed structure of SrTiO.

Uncorrected formation energy = -1493.2 meV per atom
Relative energy among the computed polymorphs = 0.287 eV/f.u.
Crystal system = tetragonal
Space-group type = P4/mmm, No. 123

POSCAR file:
```
SrTiO
1.0
3.872 0.000 0.000
0.000 3.872 0.000
0.000 0.000 3.967
Sr Ti O
1 1 1
Direct
0.000 0.000 0.000
0.500 0.500 0.500
0.500 0.500 0.000
```


(6)
The following is a DFT calculation (PBE) of a relaxed structure of SrHg3Pb.

Energy of formation from the pure elements = -1.42 eV/f.u.
Relative energy among the computed polymorphs = 0.000 eV/f.u.
Crystal system = monoclinic
Space-group type = C2/m, No. 12

POSCAR file:
```
SrHg3Pb
1.0
8.154 -2.596 0.000
8.154 2.596 0.000
-1.791 0.000 6.895
Sr Hg Pb
2 6 2
Direct
0.131 0.131 0.482
0.869 0.869 0.518
0.092 0.092 0.947
0.282 0.282 0.233
0.327 0.327 0.807
0.673 0.673 0.193
0.718 0.718 0.767
0.908 0.908 0.053
0.485 0.485 0.266
0.515 0.515 0.734
```


(7)
The following is a DFT calculation (PBE) of a relaxed structure of Hf2ScPb2.

Energy of formation from the pure elements = 0.87 eV/f.u.
Relative energy among the computed polymorphs = 1.006 eV/f.u.
Crystal system = tetragonal
Space-group type = P4/mbm, No. 127

POSCAR file:
```
Hf2ScPb2
1.0
8.640 0.000 0.000
0.000 8.640 0.000
0.000 0.000 3.312
Hf Sc Pb
4 2 4
Direct
0.123 0.377 0.000
0.377 0.877 0.000
0.623 0.123 0.000
0.877 0.623 0.000
0.000 0.000 0.000
0.500 0.500 0.000
0.174 0.674 0.500
0.326 0.174 0.500
0.674 0.826 0.500
0.826 0.326 0.500
```


(8)
The following is a DFT calculation (PBE) of a relaxed structure of MgHgN2F.

Uncorrected formation energy = 402.7 meV per atom
Relative energy among the computed polymorphs = 0.000 eV/f.u.
Crystal system = tetragonal
Space-group type = P4/mmm, No. 123

POSCAR file:
```
MgHgN2F
1.0
4.298 0.000 0.000
0.000 4.298 0.000
0.000 0.000 3.795
Mg Hg N F
1 1 2 1
Direct
0.000 0.000 0.000
0.500 0.500 0.500
0.000 0.500 0.000
0.500 0.000 0.000
0.000 0.000 0.500
```


(9)
The following is a DFT calculation (PBE) of a relaxed structure of CsHfBi2.

Energy of formation from the pure elements = -0.64 eV/f.u.
Relative energy among the computed polymorphs = 0.000 eV/f.u.
Crystal system = trigonal
Space-group type = R-3m, No. 166

POSCAR file:
```
CsHfBi2
1.0
2.209 1.275 9.023
-2.209 1.275 9.023
0.000 -2.551 9.023
Cs Hf Bi
1 1 2
Direct
0.000 0.000 0.000
0.500 0.500 0.500
0.226 0.226 0.226
0.774 0.774 0.774
```


(10)
The following is a DFT calculation (PBE) of a relaxed structure of NaSr2AgN.

Uncorrected formation energy = -236.9 meV per atom
Crystal system = tetragonal
Space-group type = P4/mmm, No. 123

POSCAR file:
```
NaSr2AgN
1.0
5.228 0.000 0.000
0.000 5.228 0.000
0.000 0.000 4.864
Na Sr Ag N
1 2 1 1
Direct
0.000 0.000 0.000
0.000 0.500 0.500
0.500 0.000 0.500
0.500 0.500 0.000
0.000 0.000 0.500
```


(11)
The following is a DFT calculation (PBE) of a relaxed structure of La2Nd12Dy5.

Energy of formation from the pure elements = 3.67 eV/f.u.
Relative energy among the computed polymorphs = 1.156 eV/f.u.
Crystal system = monoclinic
Space-group type = C2/m, No. 12

POSCAR file:
```
La2Nd12Dy5
1.0
7.998 -4.774 0.000
7.998 4.774 0.000
-1.899 0.000 8.765
La Nd Dy
2 12 5
Direct
0.177 0.823 0.000
0.823 0.177 0.000
0.022 0.022 0.674
0.076 0.578 0.272
0.192 0.575 0.695
0.417 0.417 0.078
0.422 0.924 0.728
0.425 0.808 0.305
0.575 0.192 0.695
0.578 0.076 0.272
0.583 0.583 0.922
0.808 0.425 0.305
0.924 0.422 0.728
0.978 0.978 0.326
0.190 0.190 0.045
0.213 0.213 0.440
0.500 0.500 0.500
0.787 0.787 0.560
0.810 0.810 0.955
```


(12)
The following is a DFT calculation (PBE) of a relaxed structure of Mn2BeIr.

Energy of formation from the pure elements = -0.45 eV/f.u.
Crystal system = tetragonal
Space-group type = I-4m2, No. 119

POSCAR file:
```
Mn2BeIr
1.0
-1.910 1.910 3.201
1.910 -1.910 3.201
1.910 1.910 -3.201
Mn Be Ir
2 1 1
Direct
0.000 0.000 0.000
0.750 0.250 0.500
0.500 0.500 0.000
0.250 0.750 0.500
```